(1)
Ba5PmS6: optimized geometry, PBE.

Total DFT energy (no corrections) ... -5.305 eV per atom
Magnetic moment ... 0.00 μB per formula unit
Theoretical density ... 4.52 Mg/m³
V ... 31.3 A^3/atom

Structure (CIF):
```
data_Ba5PmS6
_chemical_formula_sum 'Ba5 Pm1 S6'
_cell_length_a 7.715
_cell_length_b 7.733
_cell_length_c 7.725
_cell_angle_alpha 59.96
_cell_angle_beta 80.36
_cell_angle_gamma 70.45
_symmetry_space_group_name_H-M 'P 1'
_symmetry_Int_Tables_number 1
_symmetry_space_group_name_Hall 'P 1'
loop_
_atom_site_label
_atom_site_type_symbol
_atom_site_fract_x
_atom_site_fract_y
_atom_site_fract_z
_atom_site_occupancy
S1 S 0.764 0.771 0.000 1
S2 S 0.234 0.613 0.309 1
S3 S 0.766 0.387 0.691 1
S4 S 0.766 0.078 0.309 1
S5 S 0.234 0.922 0.691 1
S6 S 0.236 0.229 0.000 1
Ba1 Ba 0.500 0.831 0.339 1
Ba2 Ba 0.500 0.500 0.000 1
Ba3 Ba 0.000 0.334 0.332 1
Ba4 Ba 0.500 0.169 0.661 1
Ba5 Ba 0.000 0.666 0.668 1
Pm1 Pm 0.000 0.000 0.000 1
```

---

(2)
BaTh3Bi4: optimized geometry, PBE.

Total DFT energy (no corrections) ... -5.616 eV per atom
Magnetic moment ... 0.00 μB per formula unit
Calculated formation energy ... -0.65 eV/atom
Theoretical density ... 9.46 Mg/m³
V ... 36.6 A^3/atom

Structure (CIF):
```
data_BaTh3Bi4
_chemical_formula_sum 'Ba1 Th3 Bi4'
_cell_length_a 4.658
_cell_length_b 8.153
_cell_length_c 8.153
_cell_angle_alpha 71.05
_cell_angle_beta 89.99
_cell_angle_gamma 89.99
_symmetry_space_group_name_H-M 'P 1'
_symmetry_Int_Tables_number 1
_symmetry_space_group_name_Hall 'P 1'
loop_
_atom_site_label
_atom_site_type_symbol
_atom_site_fract_x
_atom_site_fract_y
_atom_site_fract_z
_atom_site_occupancy
Bi1 Bi 0.000 0.235 0.265 1
Bi2 Bi 0.500 0.244 0.744 1
Bi3 Bi 0.500 0.756 0.256 1
Bi4 Bi 0.000 0.765 0.735 1
Th1 Th 0.000 0.000 0.000 1
Th2 Th 0.000 0.500 0.500 1
Th3 Th 0.500 0.000 0.500 1
Ba1 Ba 0.500 0.500 0.000 1
```

---

(3)
Cs3Ce3CoSe8: optimized geometry, PBE.

Total DFT energy (no corrections) ... -4.996 eV per atom
Magnetic moment ... 2.04 μB per formula unit
Theoretical density ... 4.83 Mg/m³
V ... 34.6 A^3/atom

Structure (CIF):
```
data_Cs3Ce3CoSe8
_chemical_formula_sum 'Cs3 Ce3 Co1 Se8'
_cell_length_a 8.378
_cell_length_b 8.379
_cell_length_c 9.807
_cell_angle_alpha 115.30
_cell_angle_beta 90.00
_cell_angle_gamma 120.00
_symmetry_space_group_name_H-M 'P 1'
_symmetry_Int_Tables_number 1
_symmetry_space_group_name_Hall 'P 1'
loop_
_atom_site_label
_atom_site_type_symbol
_atom_site_fract_x
_atom_site_fract_y
_atom_site_fract_z
_atom_site_occupancy
Se1 Se 0.731 0.461 0.692 1
Se2 Se 0.758 0.963 0.667 1
Se3 Se 0.269 0.539 0.308 1
Se4 Se 0.795 0.590 0.332 1
Se5 Se 0.795 0.037 0.333 1
Se6 Se 0.205 0.963 0.667 1
Se7 Se 0.242 0.037 0.333 1
Se8 Se 0.205 0.410 0.668 1
Ce1 Ce 0.500 0.000 0.500 1
Ce2 Ce 0.500 0.500 0.500 1
Ce3 Ce 0.000 0.500 0.500 1
Co1 Co 0.000 0.000 0.500 1
Cs1 Cs 0.000 0.000 0.000 1
Cs2 Cs 0.500 0.500 0.000 1
Cs3 Cs 0.000 0.500 0.000 1
```

---

(4)
TlPtW: optimized geometry, PBE.

Total DFT energy (no corrections) ... -6.756 eV per atom
E above lowest polymorph ... 0.000 eV per atom
Magnetic moment ... 0.00 μB per formula unit
Calculated formation energy ... 0.36 eV/atom
Theoretical density ... 17.42 Mg/m³
V ... 18.5 A^3/atom

Structure (CIF):
```
data_TlPtW
_chemical_formula_sum 'Tl1 Pt1 W1'
_cell_length_a 6.554
_cell_length_b 6.554
_cell_length_c 2.994
_cell_angle_alpha 76.79
_cell_angle_beta 76.80
_cell_angle_gamma 26.41
_symmetry_space_group_name_H-M 'P 1'
_symmetry_Int_Tables_number 1
_symmetry_space_group_name_Hall 'P 1'
loop_
_atom_site_label
_atom_site_type_symbol
_atom_site_fract_x
_atom_site_fract_y
_atom_site_fract_z
_atom_site_occupancy
W1 W 0.650 0.650 0.350 1
Pt1 Pt 0.019 0.019 0.981 1
Tl1 Tl 0.331 0.331 0.669 1
```

---

(5)
AlTl3S: optimized geometry, PBE.

Total DFT energy (no corrections) ... -2.720 eV per atom
E above lowest polymorph ... 0.000 eV per atom
Magnetic moment ... 0.00 μB per formula unit
Theoretical density ... 7.24 Mg/m³
V ... 30.8 A^3/atom

Structure (CIF):
```
data_AlTl3S
_chemical_formula_sum 'Al1 Tl3 S1'
_cell_length_a 5.362
_cell_length_b 5.362
_cell_length_c 5.362
_cell_angle_alpha 90.00
_cell_angle_beta 90.00
_cell_angle_gamma 90.00
_symmetry_space_group_name_H-M 'P 1'
_symmetry_Int_Tables_number 1
_symmetry_space_group_name_Hall 'P 1'
loop_
_atom_site_label
_atom_site_type_symbol
_atom_site_fract_x
_atom_site_fract_y
_atom_site_fract_z
_atom_site_occupancy
S1 S 0.500 0.500 0.500 1
Al1 Al 0.000 0.000 0.000 1
Tl1 Tl 0.500 0.000 0.000 1
Tl2 Tl 0.000 0.000 0.500 1
Tl3 Tl 0.000 0.500 0.000 1
```

---

(6)
GdScCoNi: optimized geometry, PBE.

Total DFT energy (no corrections) ... -8.601 eV per atom
Magnetic moment ... 6.94 μB per formula unit
Calculated formation energy ... -0.28 eV/atom
Theoretical density ... 7.57 Mg/m³
V ... 17.5 A^3/atom

Structure (CIF):
```
data_GdScCoNi
_chemical_formula_sum 'Gd1 Sc1 Co1 Ni1'
_cell_length_a 4.629
_cell_length_b 4.629
_cell_length_c 4.629
_cell_angle_alpha 60.00
_cell_angle_beta 60.00
_cell_angle_gamma 60.00
_symmetry_space_group_name_H-M 'P 1'
_symmetry_Int_Tables_number 1
_symmetry_space_group_name_Hall 'P 1'
loop_
_atom_site_label
_atom_site_type_symbol
_atom_site_fract_x
_atom_site_fract_y
_atom_site_fract_z
_atom_site_occupancy
Ni1 Ni 0.250 0.250 0.250 1
Co1 Co 0.750 0.750 0.750 1
Gd1 Gd 0.500 0.500 0.500 1
Sc1 Sc 0.000 0.000 0.000 1
```